CaTlRh | PBE-GGA | optimized geometry

Unit cell a=5.8191 b=5.8191 c=5.5617 alpha=118.43 beta=118.43 gamma=72.97
Last column: nearest neighbours and their distance in Å.
Element x y z (fractional)
Ca 0.0000 0.5000 0.0000  4 Rh 2.91
Ca 0.5000 0.0000 0.5000  4 Rh 2.91
Tl 0.1552 0.8448 0.7500  2 Rh 2.76
Tl 0.8448 0.1552 0.2500  2 Rh 2.76
Rh 0.5000 0.5000 0.0000  2 Tl 2.76, 2 Rh 2.78, 4 Ca 2.91
Rh 0.5000 0.5000 0.5000  2 Tl 2.76, 2 Rh 2.78, 4 Ca 2.91

Calculated values
ΔE_f: -0.24 eV per atom
Fermi-level density of states: 4.8 states/eV/cell
Symmetry: C2/c, No. 15



NaTlZn2Pt | PBE-GGA | optimized geometry

Unit cell a=4.9428 b=4.9428 c=5.2475 alpha=90.00 beta=90.00 gamma=90.00
Last column: nearest neighbours and their distance in Å.
Element x y z (fractional)
Na 0.0000 0.0000 0.0000  4 Tl 3.50, 8 Zn 3.60
Tl 0.5000 0.5000 0.0000  2 Pt 2.62
Zn 0.0000 0.5000 0.5000  2 Pt 2.47
Zn 0.5000 0.0000 0.5000  2 Pt 2.47
Pt 0.5000 0.5000 0.5000  4 Zn 2.47, 2 Tl 2.62

Calculated values
ΔE_f: -0.13 eV per atom
Fermi-level density of states: 1.7 states/eV/cell
Symmetry: P4/mmm, No. 123



LiTm2ZrSe4 | PBE-GGA | optimized geometry

Unit cell a=6.6920 b=3.9387 c=6.9809 alpha=90.00 beta=109.07 gamma=90.00
Last column: nearest neighbours and their distance in Å.
Element x y z (fractional)
Li 0.0000 0.0000 0.0000  6 Se 2.70-2.75
Tm 0.5000 0.0000 0.5000  6 Se 2.84-2.87
Tm 0.5000 0.5000 0.0000  6 Se 2.81
Zr 0.0000 0.5000 0.5000  6 Se 2.76-2.78
Se 0.2397 0.0000 0.7544  1 Li 2.70, 2 Zr 2.78, 3 Tm 2.81-2.87
Se 0.2395 0.5000 0.2437  2 Li 2.75, 1 Zr 2.76, 3 Tm 2.81-2.84
Se 0.7603 0.0000 0.2456  1 Li 2.70, 2 Zr 2.78, 3 Tm 2.81-2.87
Se 0.7605 0.5000 0.7563  2 Li 2.75, 1 Zr 2.76, 3 Tm 2.81-2.84

Calculated values
Formation energy from raw total energies: -1.52 eV per atom
Fermi-level density of states: 3.9 states/eV/cell
Symmetry: P2/m, No. 10



LaTl2NiSb | PBE-GGA | optimized geometry

Unit cell a=5.0585 b=5.0585 c=5.3202 alpha=90.00 beta=90.00 gamma=90.00
Last column: nearest neighbours and their distance in Å.
Element x y z (fractional)
La 0.0000 0.0000 0.0000  2 Ni 2.66
Tl 0.0000 0.5000 0.5000  2 Ni 2.53
Tl 0.5000 0.0000 0.5000  2 Ni 2.53
Ni 0.0000 0.0000 0.5000  4 Tl 2.53, 2 La 2.66
Sb 0.5000 0.5000 0.0000  4 La 3.58, 8 Tl 3.67

Calculated values
Formation energy from raw total energies: -0.35 eV per atom
Fermi-level density of states: 1.7 states/eV/cell
Symmetry: P4/mmm, No. 123



Hf2BiO | PBE-GGA | optimized geometry

Unit cell a=4.7429 b=4.7429 c=4.7429 alpha=60.00 beta=60.00 gamma=60.00
Last column: nearest neighbours and their distance in Å.
Element x y z (fractional)
Hf 0.2500 0.2500 0.2500  4 O 2.90, 4 Bi 2.90
Hf 0.7500 0.7500 0.7500  4 O 2.90, 4 Bi 2.90
Bi 0.0000 0.0000 0.0000  8 Hf 2.90
O 0.5000 0.5000 0.5000  8 Hf 2.90

Calculated values
E above lowest polymorph: 719 meV/atom
Formation energy from raw total energies: -0.25 eV per atom
Fermi-level density of states: 2.1 states/eV/cell
Symmetry: Fm-3m, No. 225



PmSm2Hf | PBE-GGA | optimized geometry

Unit cell a=11.7142 b=11.7142 c=11.7142 alpha=17.06 beta=17.06 gamma=17.06
Last column: nearest neighbours and their distance in Å.
Element x y z (fractional)
Pm 0.0000 0.0000 0.0000  6 Pm 3.47, 6 Sm 3.71
Sm 0.2433 0.2433 0.2433  3 Hf 3.33, 6 Sm 3.47, 3 Pm 3.71
Sm 0.7567 0.7567 0.7567  3 Hf 3.33, 6 Sm 3.47, 3 Pm 3.71
Hf 0.5000 0.5000 0.5000  6 Sm 3.33, 6 Hf 3.47

Calculated values
E above lowest polymorph: 0 meV/atom
ΔE_f: 0.15 eV per atom
Fermi-level density of states: 5.0 states/eV/cell
Symmetry: R-3m, No. 166



LaMnN3 | PBE-GGA | optimized geometry

Unit cell a=4.1682 b=4.1682 c=7.6331 alpha=90.00 beta=90.00 gamma=120.00
Last column: nearest neighbours and their distance in Å.
Element x y z (fractional)
La 0.3333 0.6667 0.2500  5 N 2.35-2.41
La 0.6667 0.3333 0.7500  5 N 2.35-2.41
Mn 0.0000 0.0000 0.0000  2 N 1.91
Mn 0.0000 0.0000 0.5000  2 N 1.91
N 0.0000 0.0000 0.2500  2 Mn 1.91
N 0.0000 0.0000 0.7500  2 Mn 1.91
N 0.3333 0.6667 0.5577  1 La 2.35, 3 Mn 2.45, 3 N 2.56
N 0.3333 0.6667 0.9423  1 La 2.35, 3 Mn 2.45, 3 N 2.56
N 0.6667 0.3333 0.0577  1 La 2.35, 3 Mn 2.45, 3 N 2.56
N 0.6667 0.3333 0.4423  1 La 2.35, 3 Mn 2.45, 3 N 2.56

Calculated values
Formation energy from raw total energies: 0.31 eV per atom
Fermi-level density of states: 7.5 states/eV/cell
Symmetry: P6_3/mmc, No. 194



Ba2NbIr | PBE-GGA | optimized geometry

Unit cell a=8.7882 b=8.7882 c=8.7882 alpha=94.46 beta=94.46 gamma=147.60
Last column: nearest neighbours and their distance in Å.
Element x y z (fractional)
Ba 0.3750 0.2083 0.3333  2 Ir 3.20
Ba 0.7917 0.1250 0.1667  2 Ir 3.20
Ba 0.8750 0.0417 0.6667  2 Ir 3.20
Ba 0.9583 0.6250 0.8333  2 Ir 3.20
Nb 0.2500 0.7500 0.5000  2 Ir 2.45
Nb 0.5000 0.5000 0.0000  2 Ir 2.45
Ir 0.0000 0.0000 0.0000  2 Nb 2.45
Ir 0.7500 0.2500 0.5000  2 Nb 2.45

Calculated values
E above lowest polymorph: 0 meV/atom
ΔE_f: 0.49 eV per atom
Fermi-level density of states: 13.3 states/eV/cell
Symmetry: I-42d, No. 122



Dy5ThAu6 | PBE-GGA | optimized geometry

Unit cell a=8.8994 b=8.8994 c=8.8994 alpha=146.40 beta=132.50 gamma=59.43
Last column: nearest neighbours and their distance in Å.
Element x y z (fractional)
Dy 0.0000 0.0000 0.0000  8 Au 3.09-3.15
Dy 0.1673 0.6673 0.5000  8 Au 3.11-3.12
Dy 0.3317 0.3317 0.0000  8 Au 3.07-3.20
Dy 0.6683 0.6683 0.0000  8 Au 3.07-3.20
Dy 0.8327 0.3327 0.5000  8 Au 3.11-3.12
Th 0.5000 0.0000 0.5000  8 Au 3.18
Au 0.0771 0.8314 0.2457  7 Dy 3.07-3.15, 1 Th 3.18
Au 0.2397 0.5000 0.7397  6 Dy 3.09-3.20, 2 Th 3.18, 1 Au 3.44
Au 0.4143 0.1686 0.2457  7 Dy 3.07-3.15, 1 Th 3.18
Au 0.5857 0.8314 0.7543  7 Dy 3.07-3.15, 1 Th 3.18
Au 0.7603 0.5000 0.2603  6 Dy 3.09-3.20, 2 Th 3.18, 1 Au 3.44
Au 0.9229 0.1686 0.7543  7 Dy 3.07-3.15, 1 Th 3.18

Calculated values
ΔE_f: -0.80 eV per atom
Fermi-level density of states: 7.8 states/eV/cell
Symmetry: Immm, No. 71



ZrCuTe2 | PBE-GGA | optimized geometry

Unit cell a=7.5926 b=7.5926 c=7.5926 alpha=29.59 beta=29.59 gamma=29.59
Last column: nearest neighbours and their distance in Å.
Element x y z (fractional)
Zr 0.0000 0.0000 0.0000  6 Te 2.96
Cu 0.5000 0.5000 0.5000  6 Te 2.81
Te 0.2447 0.2447 0.2447  3 Cu 2.81, 3 Zr 2.96
Te 0.7553 0.7553 0.7553  3 Cu 2.81, 3 Zr 2.96

Calculated values
Formation energy from raw total energies: -0.39 eV per atom
Fermi-level density of states: 2.6 states/eV/cell
Symmetry: R-3m, No. 166



RbSi2C2 | PBE-GGA | optimized geometry

Unit cell a=8.4159 b=8.4159 c=2.9373 alpha=90.00 beta=90.00 gamma=90.00
Last column: nearest neighbours and their distance in Å.
Element x y z (fractional)
Rb 0.0000 0.0000 0.0000  2 Rb 2.94
Rb 0.5000 0.5000 0.0000  2 Rb 2.94
Si 0.1075 0.3925 0.0000  4 C 2.10
Si 0.3925 0.8925 0.0000  4 C 2.10
Si 0.6075 0.1075 0.0000  4 C 2.10
Si 0.8925 0.6075 0.0000  4 C 2.10
C 0.0650 0.5650 0.5000  1 C 1.55
C 0.4350 0.0650 0.5000  1 C 1.55
C 0.5650 0.9350 0.5000  1 C 1.55
C 0.9350 0.4350 0.5000  1 C 1.55

Calculated values
E above lowest polymorph: 412 meV/atom
Formation energy from raw total energies: 1.13 eV per atom
Fermi-level density of states: 5.0 states/eV/cell
Symmetry: P4/mbm, No. 127



Er2Sc3Pt4 | PBE-GGA | optimized geometry

Unit cell a=8.9275 b=8.9275 c=7.3921 alpha=90.00 beta=90.00 gamma=140.95
Last column: nearest neighbours and their distance in Å.
Element x y z (fractional)
Er 0.0975 0.9025 0.9089  5 Pt 2.95-3.23
Er 0.4025 0.5975 0.4089  5 Pt 2.95-3.23
Er 0.5975 0.4025 0.5911  5 Pt 2.95-3.23
Er 0.9025 0.0975 0.0911  5 Pt 2.95-3.23
Sc 0.0000 0.0000 0.5000  6 Pt 2.63-2.83
Sc 0.0181 0.4819 0.7500  5 Pt 2.73-2.84, 2 Sc 2.98
Sc 0.4819 0.0181 0.2500  5 Pt 2.73-2.84, 2 Sc 2.98
Sc 0.5000 0.5000 0.0000  6 Pt 2.63-2.83
Sc 0.5181 0.9819 0.7500  5 Pt 2.73-2.84, 2 Sc 2.98
Sc 0.9819 0.5181 0.2500  5 Pt 2.73-2.84, 2 Sc 2.98
Pt 0.1674 0.8326 0.5425  5 Sc 2.73-2.84, 1 Er 2.95
Pt 0.1826 0.3174 0.7500  3 Sc 2.63-2.77
Pt 0.3174 0.1826 0.2500  3 Sc 2.63-2.77
Pt 0.3326 0.6674 0.0425  5 Sc 2.73-2.84, 1 Er 2.95
Pt 0.6674 0.3326 0.9575  5 Sc 2.73-2.84, 1 Er 2.95
Pt 0.6826 0.8174 0.7500  3 Sc 2.63-2.77
Pt 0.8174 0.6826 0.2500  3 Sc 2.63-2.77
Pt 0.8326 0.1674 0.4575  5 Sc 2.73-2.84, 1 Er 2.95

Calculated values
E above lowest polymorph: 117 meV/atom
ΔE_f: -1.09 eV per atom
Fermi-level density of states: 17.4 states/eV/cell
Symmetry: Cmce, No. 64